# 1
This record from Alexandria via LeMat-Bulk describes CaSmP after structural relaxation. The functional is PBE-GGA.

Cell lengths 4.067, 4.067, 6.678 Å; angles 90.00, 90.00, 120.00 degrees
Atoms (fractional coordinates):
Ca: 0.000 0.000 0.000
Sm: 0.333 0.667 0.480
P: 0.667 0.333 0.255

Calculated values
DFT formation energy in eV per atom: -0.869
Density of states at the Fermi level in states/eV per cell: 1.804
Symmetry: P3m1, No. 156


# 2
This record from Alexandria via LeMat-Bulk describes CaSmP2 after structural relaxation. The functional is PBE-GGA.

Cell lengths 4.097, 4.097, 20.894 Å; angles 90.00, 90.00, 120.00 degrees
Atoms (fractional coordinates):
Ca: 0.000 0.000 0.000
Ca: 0.333 0.667 0.667
Ca: 0.667 0.333 0.333
Sm: 0.000 0.000 0.827
Sm: 0.333 0.667 0.494
Sm: 0.667 0.333 0.160
P: 0.000 0.000 0.242
P: 0.000 0.000 0.416
P: 0.333 0.667 0.083
P: 0.333 0.667 0.909
P: 0.667 0.333 0.576
P: 0.667 0.333 0.750

Calculated values
Energy relative to the lowest polymorph listed for this composition in meV per atom: 76.4
DFT formation energy in eV per atom: -1.079
Density of states at the Fermi level in states/eV per cell: 11.638
Symmetry: R3m, No. 160


# 3
This record from Alexandria via LeMat-Bulk describes Ca3Sm2TaP6 after structural relaxation. The functional is PBE-GGA.

Cell lengths 6.912, 6.912, 7.058 Å; angles 99.52, 99.52, 120.07 degrees
Atoms (fractional coordinates):
Ca: 0.000 0.000 0.000
Ca: 0.328 0.672 0.000
Ca: 0.672 0.328 0.000
Sm: 0.166 0.834 0.500
Sm: 0.834 0.166 0.500
Ta: 0.500 0.500 0.500
P: 0.117 0.424 0.270
P: 0.274 0.274 0.731
P: 0.424 0.117 0.270
P: 0.576 0.883 0.730
P: 0.726 0.726 0.269
P: 0.883 0.576 0.730

Calculated values
DFT formation energy in eV per atom: -1.118
Density of states at the Fermi level in states/eV per cell: 5.799
Symmetry: C2/m, No. 12


# 4
This record from Alexandria via LeMat-Bulk describes CaSmTh2P4 after structural relaxation. The functional is PBE-GGA.

Cell lengths 7.130, 4.153, 7.195 Å; angles 90.00, 109.63, 90.00 degrees
Atoms (fractional coordinates):
Ca: 0.000 0.000 0.000
Sm: 0.000 0.500 0.500
Th: 0.500 0.000 0.500
Th: 0.500 0.500 0.000
P: 0.252 0.000 0.749
P: 0.256 0.500 0.254
P: 0.744 0.500 0.746
P: 0.748 0.000 0.251

Calculated values
DFT formation energy in eV per atom: -1.495
Density of states at the Fermi level in states/eV per cell: 1.623
Symmetry: P2/m, No. 10


# 5
This record from Alexandria via LeMat-Bulk describes CaSm3Th2P6 after structural relaxation. The functional is PBE-GGA.

Cell lengths 9.224, 9.224, 8.265 Å; angles 103.06, 103.06, 25.91 degrees
Atoms (fractional coordinates):
Ca: 0.000 0.000 0.000
Sm: 0.000 0.000 0.500
Sm: 0.335 0.335 0.166
Sm: 0.665 0.665 0.834
Th: 0.336 0.336 0.672
Th: 0.664 0.664 0.328
P: 0.168 0.168 0.085
P: 0.168 0.168 0.582
P: 0.499 0.499 0.745
P: 0.501 0.501 0.255
P: 0.832 0.832 0.418
P: 0.832 0.832 0.915

Calculated values
DFT formation energy in eV per atom: -1.518
Density of states at the Fermi level in states/eV per cell: 1.658
Symmetry: C2/m, No. 12


# 6
This record from Alexandria via LeMat-Bulk describes CaSm2ThP4 after structural relaxation. The functional is PBE-GGA.

Cell lengths 7.125, 4.145, 7.165 Å; angles 90.00, 109.23, 90.00 degrees
Atoms (fractional coordinates):
Ca: 0.000 0.000 0.000
Sm: 0.000 0.500 0.500
Sm: 0.500 0.000 0.500
Th: 0.500 0.500 0.000
P: 0.253 0.000 0.750
P: 0.256 0.500 0.252
P: 0.744 0.500 0.748
P: 0.747 0.000 0.250

Calculated values
DFT formation energy in eV per atom: -1.466
Density of states at the Fermi level in states/eV per cell: 1.026
Symmetry: P2/m, No. 10


# 7
This record from Alexandria via LeMat-Bulk describes CaSm2UP4 after structural relaxation. The functional is PBE-GGA.

Cell lengths 5.742, 5.742, 11.491 Å; angles 90.00, 90.00, 90.00 degrees
Atoms (fractional coordinates):
Ca: 0.000 0.000 0.000
Ca: 0.500 0.500 0.500
Sm: 0.000 0.000 0.500
Sm: 0.000 0.500 0.250
Sm: 0.500 0.000 0.750
Sm: 0.500 0.500 0.000
U: 0.000 0.500 0.750
U: 0.500 0.000 0.250
P: 0.000 0.000 0.252
P: 0.000 0.000 0.748
P: 0.000 0.500 0.513
P: 0.000 0.500 0.987
P: 0.500 0.000 0.013
P: 0.500 0.000 0.487
P: 0.500 0.500 0.248
P: 0.500 0.500 0.752

Calculated values
DFT formation energy in eV per atom: -1.289
Density of states at the Fermi level in states/eV per cell: 16.496
Symmetry: I-4m2, No. 119


# 8
This record from Alexandria via LeMat-Bulk describes Ca2SmUP4 after structural relaxation. The functional is PBE-GGA.

Cell lengths 7.055, 4.095, 7.063 Å; angles 90.00, 109.29, 90.00 degrees
Atoms (fractional coordinates):
Ca: 0.000 0.000 0.000
Ca: 0.000 0.500 0.500
Sm: 0.500 0.000 0.500
U: 0.500 0.500 0.000
P: 0.268 0.500 0.239
P: 0.273 0.000 0.770
P: 0.727 0.000 0.230
P: 0.732 0.500 0.761

Calculated values
DFT formation energy in eV per atom: -1.198
Density of states at the Fermi level in states/eV per cell: 5.500
Symmetry: P2/m, No. 10


# 9
This record from Alexandria via LeMat-Bulk describes Ca4SmU3P8 after structural relaxation. The functional is PBE-GGA.

Cell lengths 8.134, 8.134, 8.134 Å; angles 59.79, 59.79, 59.79 degrees
Atoms (fractional coordinates):
Ca: 0.000 0.000 0.000
Ca: 0.000 0.500 0.500
Ca: 0.500 0.000 0.500
Ca: 0.500 0.500 0.000
Sm: 0.500 0.500 0.500
U: 0.000 0.000 0.500
U: 0.000 0.500 0.000
U: 0.500 0.000 0.000
P: 0.232 0.749 0.749
P: 0.242 0.242 0.242
P: 0.251 0.251 0.768
P: 0.251 0.768 0.251
P: 0.749 0.232 0.749
P: 0.749 0.749 0.232
P: 0.758 0.758 0.758
P: 0.768 0.251 0.251

Calculated values
DFT formation energy in eV per atom: -1.133
Density of states at the Fermi level in states/eV per cell: 18.944
Symmetry: R-3m, No. 166


# 10
This record from Alexandria via LeMat-Bulk describes Ca2SnP after structural relaxation. The functional is PBE-GGA.

Cell lengths 3.468, 3.468, 8.359 Å; angles 90.00, 90.00, 90.00 degrees
Atoms (fractional coordinates):
Ca: 0.000 0.000 0.205
Ca: 0.000 0.000 0.795
Sn: 0.500 0.500 0.500
P: 0.500 0.500 0.000

Calculated values
Energy relative to the lowest polymorph listed for this composition in meV per atom: 0.0
DFT formation energy in eV per atom: -0.736
Density of states at the Fermi level in states/eV per cell: 2.185
Symmetry: P4/mmm, No. 123


# 11
This record from Alexandria via LeMat-Bulk describes Ca2SnP after structural relaxation. The functional is PBE-GGA.

Cell lengths 4.077, 4.077, 28.750 Å; angles 90.00, 90.00, 120.00 degrees
Atoms (fractional coordinates):
Ca: 0.000 0.000 0.115
Ca: 0.000 0.000 0.885
Ca: 0.333 0.667 0.552
Ca: 0.333 0.667 0.782
Ca: 0.667 0.333 0.218
Ca: 0.667 0.333 0.448
Sn: 0.000 0.000 0.000
Sn: 0.333 0.667 0.667
Sn: 0.667 0.333 0.333
P: 0.000 0.000 0.500
P: 0.333 0.667 0.167
P: 0.667 0.333 0.833

Calculated values
Energy relative to the lowest polymorph listed for this composition in meV per atom: 188.9
DFT formation energy in eV per atom: -0.547
Density of states at the Fermi level in states/eV per cell: 8.485
Symmetry: R-3m, No. 166


# 12
This record from Alexandria via LeMat-Bulk describes Ca7Sn2P2 after structural relaxation. The functional is PBE-GGA.

Cell lengths 7.001, 7.001, 7.109 Å; angles 90.00, 90.00, 103.83 degrees
Atoms (fractional coordinates):
Ca: 0.000 0.000 0.000
Ca: 0.000 0.500 0.256
Ca: 0.000 0.500 0.744
Ca: 0.500 0.000 0.256
Ca: 0.500 0.000 0.744
Ca: 0.500 0.500 0.244
Ca: 0.500 0.500 0.756
Sn: 0.185 0.185 0.500
Sn: 0.815 0.815 0.500
P: 0.283 0.717 0.000
P: 0.717 0.283 0.000

Calculated values
DFT formation energy in eV per atom: -0.747
Density of states at the Fermi level in states/eV per cell: 4.049
Symmetry: Cmmm, No. 65